1.
Crystalline Ac2La7Ho at its relaxed geometry, computed with GGA-PBE.

a b c (Å): 3.6419 10.8100 10.8099
angles (deg): 109.03 90.00 90.00
Element x y z (fractional)
Ac 0.5000 0.8279 0.1721
Ac 0.5000 0.1721 0.8279
La 0.5000 0.8631 0.6188
La 0.0000 0.3341 0.6659
La 0.5000 0.6188 0.8631
La 0.5000 0.3812 0.1369
La 0.5000 0.5000 0.5000
La 0.5000 0.1369 0.3812
La 0.0000 0.6659 0.3341
Ho 0.0000 0.0000 0.0000

Results
Its formation energy is 0.3780 eV/atom. The symmetry is Cmmm. The relative energy among the computed polymorphs is 0.2481 eV/atom.

---

2.
Crystalline TmHfZnOs at its relaxed geometry, computed with GGA-PBE.

a b c (Å): 4.7378 4.7378 4.7378
angles (deg): 60.00 60.00 60.00
Element x y z (fractional)
Tm 0.7500 0.7500 0.7500
Zn 0.5000 0.5000 0.5000
Os 0.0000 0.0000 0.0000
Hf 0.2500 0.2500 0.2500

Results
Its formation energy is -0.3503 eV/atom. The symmetry is F-43m.

---

3.
Crystalline VZnTc3 at its relaxed geometry, computed with GGA-PBE.

a b c (Å): 4.4711 4.4711 4.4711
angles (deg): 90.00 90.00 90.00
Each line ends with the local moment (μB).
Element x y z (fractional)
Tc 0.5000 0.0000 0.0000  0.69
Tc 0.0000 0.5000 0.0000  0.69
Tc 0.0000 0.0000 0.5000  0.69
Zn 0.5000 0.5000 0.5000  -0.02
V 0.0000 0.0000 0.0000  -0.10

Results
Its formation energy is 1.2129 eV/atom. The symmetry is Pm-3m. The relative energy among the computed polymorphs is 0.0000 eV/atom.

---

4.
Crystalline NaP3Rh4 at its relaxed geometry, computed with GGA-PBE.

a b c (Å): 3.9702 3.9702 7.6298
angles (deg): 90.00 90.00 90.00
Element x y z (fractional)
Na 0.0000 0.0000 0.5000
P 0.0000 0.0000 0.0000
P 0.5000 0.5000 0.6525
P 0.5000 0.5000 0.3475
Rh 0.0000 0.5000 0.1868
Rh 0.5000 0.0000 0.8132
Rh 0.5000 0.0000 0.1868
Rh 0.0000 0.5000 0.8132

Results
Its formation energy is -0.7315 eV/atom. The symmetry is P4/mmm.

---

5.
Crystalline CdNiSbRh at its relaxed geometry, computed with GGA-PBE.

a b c (Å): 4.5469 4.5469 4.5469
angles (deg): 60.00 60.00 60.00
Element x y z (fractional)
Sb 0.2500 0.2500 0.2500
Cd 0.7500 0.7500 0.7500
Rh 0.5000 0.5000 0.5000
Ni 0.0000 0.0000 0.0000

Results
The calculation puts the energy relative to the elements, uncorrected at -0.0892 eV per atom. The symmetry is F-43m.

---

6.
Crystalline CsMgIn2Pb4 at its relaxed geometry, computed with GGA-PBE.

a b c (Å): 5.4959 5.4959 11.1629
angles (deg): 75.75 75.75 60.00
Element x y z (fractional)
In 0.2361 0.2361 0.2916
In 0.7639 0.7639 0.7084
Pb 0.4103 0.4103 0.7691
Pb 0.5897 0.5897 0.2309
Pb 0.8681 0.8681 0.3957
Pb 0.1319 0.1319 0.6043
Mg 0.5000 0.5000 0.5000
Cs 0.0000 0.0000 0.0000

Results
Its formation energy is -0.0458 eV/atom. The symmetry is R-3m.

---

7.
Crystalline Ta2CdAg at its relaxed geometry, computed with GGA-PBE.

a b c (Å): 5.2102 5.2102 5.2102
angles (deg): 133.02 133.02 68.63
Each line ends with the local moment (μB).
Element x y z (fractional)
Ag 0.5000 0.5000 0.0000  0.02
Cd 0.7500 0.2500 0.5000  0.00
Ta 0.2500 0.7500 0.5000  0.22
Ta 0.0000 0.0000 0.0000  0.24

Results
Its formation energy is 0.4925 eV/atom. The symmetry is I-4m2.